Material: GdLuMgRh
Method: DFT, PBE-GGA
State: optimized geometry

Output
Crystal system: cubic
Total magnetic moment in μB per atom: 1.761
Electronic total energy in eV/cell: -116.85
DFT formation energy in meV per atom: -416
V in Å³ per cell: 358.35

a b c (Å): 7.103 7.103 7.103
angles (deg): 90.00 90.00 90.00
Space group F-43m (No. 216)
Inequivalent atoms, fractional coordinates:
Gd  0.000  0.000  0.000 (multiplicity 4)
Lu  0.000  0.000  0.500 (multiplicity 4)
Mg  0.250  0.250  0.250 (multiplicity 4)
Rh  0.250  0.250  0.750 (multiplicity 4)

Material: TbZrIn2
Method: DFT, PBE-GGA
State: optimized geometry

Output
Crystal system: orthorhombic
Total magnetic moment in μB per atom: 0.053
Electronic total energy in eV/cell: -20.10
DFT formation energy in meV per atom: -360
V in Å³ per cell: 96.67

a b c (Å): 3.265 3.324 8.906
angles (deg): 90.00 90.00 90.00
Space group Pmmm (No. 47)
Inequivalent atoms, fractional coordinates:
Tb  0.000  0.000  0.000 (multiplicity 1)
Zr  0.000  0.000  0.500 (multiplicity 1)
In  0.500  0.500  0.262 (multiplicity 2)

Material: H5SCl4
Method: DFT, PBE-GGA
State: optimized geometry

Output
Crystal system: tetragonal
Total magnetic moment in μB per atom: 0.100
Electronic total energy in eV/cell: -61.91
V in Å³ per cell: 523.99

a b c (Å): 8.416 8.416 7.397
angles (deg): 90.00 90.00 90.00
Space group I4 (No. 79)
Inequivalent atoms, fractional coordinates:
H  0.000  0.000  0.000 (multiplicity 2)
H  0.037  0.779  0.652 (multiplicity 8)
S  0.000  0.000  0.183 (multiplicity 2)
Cl  0.109  0.275  0.658 (multiplicity 8)